TbPr2SmSc: relaxed, PBE-GGA.

Calculated values
For the theoretical density, the calculation gives 6.42 Mg/m³. The formation energy comes out at 0.194 eV/atom. The value obtained for the total energy is -4.85 eV per atom.

Cell lengths 6.6462, 7.8453, 6.3112 Å; angles 90.00, 90.00, 90.00 degrees
Positions (direct):
Sc 0.0000 0.0000 0.5000
Sc 0.0000 0.0000 0.0000
Pr 0.2192 0.2945 0.2500
Pr 0.2192 0.7055 0.2500
Pr 0.7808 0.7055 0.7500
Pr 0.7808 0.2945 0.7500
Tb 0.4071 0.0000 0.7500
Tb 0.5929 0.0000 0.2500
Sm 0.6943 0.5000 0.2500
Sm 0.3057 0.5000 0.7500


TbPrSmSc: relaxed, PBE-GGA.

Calculated values
For the theoretical density, the calculation gives 6.51 Mg/m³. The formation energy comes out at 0.111 eV/atom. For the energy above the lowest structure with this stoichiometry, the calculation gives 6 meV per atom. The value obtained for the total energy is -5.00 eV per atom.

Cell lengths 5.6318, 5.6318, 5.6318 Å; angles 60.00, 60.00, 60.00 degrees
Positions (direct):
Pr 0.2500 0.2500 0.2500
Sm 0.7500 0.7500 0.7500
Sc 0.0000 0.0000 0.0000
Tb 0.5000 0.5000 0.5000


TbPrSm2Sc: relaxed, PBE-GGA.

Calculated values
For the theoretical density, the calculation gives 6.57 Mg/m³. The formation energy comes out at 0.221 eV/atom. The value obtained for the total energy is -4.82 eV per atom.

Cell lengths 6.6726, 7.8493, 6.2282 Å; angles 89.99, 90.00, 90.00 degrees
Positions (direct):
Sm 0.2830 0.7108 0.2498
Sm 0.2830 0.2892 0.2501
Sm 0.7170 0.2892 0.7502
Sm 0.7170 0.7108 0.7499
Sc 0.0000 0.0000 0.0000
Sc 0.0000 0.0000 0.5000
Pr 0.8054 0.5000 0.2500
Pr 0.1946 0.5000 0.7500
Tb 0.4018 0.0000 0.7500
Tb 0.5982 0.0000 0.2500